Entry 1:
First-principles (PBE-GGA) data for an optimized crystal structure of Mg2BPt6, as listed in Alexandria.

abc: 7.4118 7.4118 2.8730
angles: 90.00 90.00 120.00
Space group P-31m (No. 162)
Unique sites:
1 Mg 0.3333 0.6667 0.0000 x2
2 B 0.0000 0.0000 0.5000 x1
3 Pt 0.0000 0.3145 0.2648 x6

Energy of formation ... -173 meV/atom
Final energy ... -47.7 eV for the cell shown
Density of states at the Fermi level ... 3.35 states/eV per cell
V ... 136.7 Å³ per cell

---

Entry 2:
First-principles (PBE-GGA) data for an optimized crystal structure of Cs5Rb5H, as listed in Alexandria.

abc: 16.3471 7.2315 15.9164
angles: 90.00 92.09 90.00
Space group C2/m (No. 12)
Unique sites:
1 Cs 0.0000 0.0000 0.0000 x2
2 Cs 0.1029 0.5000 0.1855 x4
3 Cs 0.1695 0.5000 0.9012 x4
4 Rb 0.0000 0.5000 0.5000 x2
5 Rb 0.0951 0.0000 0.6839 x4
6 Rb 0.2042 0.0000 0.3985 x4
7 H 0.0000 0.5000 0.0000 x2

Final energy ... -25.0 eV for the cell shown
Density of states at the Fermi level ... 17.76 states/eV per cell
V ... 1880.3 Å³ per cell

---

Entry 3:
First-principles (PBE-GGA) data for an optimized crystal structure of AcEuCu2, as listed in Alexandria.

abc: 5.2648 5.2648 3.7245
angles: 90.00 90.00 90.00
Space group P4/mmm (No. 123)
Unique sites:
1 Ac 0.0000 0.0000 0.0000 x1
2 Eu 0.5000 0.5000 0.0000 x1
3 Cu 0.0000 0.5000 0.5000 x2

Energy of formation ... -83 meV/atom
Final energy ... -22.9 eV for the cell shown
Distance to the lowest polymorph of the same formula ... 6.3 meV per atom
Density of states at the Fermi level ... 9.15 states/eV per cell
V ... 103.2 Å³ per cell

---

Entry 4:
First-principles (PBE-GGA) data for an optimized crystal structure of PuPaPtAu, as listed in Alexandria.

abc: 7.1258 7.1258 7.1258
angles: 90.00 90.00 90.00
Space group F-43m (No. 216)
Unique sites:
1 Pu 0.0000 0.0000 0.0000 x4
2 Pa 0.0000 0.0000 0.5000 x4
3 Pt 0.2500 0.2500 0.7500 x4
4 Au 0.2500 0.2500 0.2500 x4

Energy of formation ... -506 meV/atom
Final energy ... -140.7 eV for the cell shown
Distance to the lowest polymorph of the same formula ... 181.8 meV per atom
Density of states at the Fermi level ... 45.45 states/eV per cell
V ... 361.8 Å³ per cell

---

Entry 5:
First-principles (PBE-GGA) data for an optimized crystal structure of SmDy6HoEr2, as listed in Alexandria.

abc: 9.0493 14.9711 9.4955
angles: 90.00 97.10 90.00
Space group C2/c (No. 15)
Unique sites:
1 Sm 0.0000 0.0256 0.2500 x4
2 Dy 0.0629 0.1853 0.9438 x8
3 Dy 0.1001 0.3918 0.1189 x8
4 Dy 0.2083 0.2257 0.3168 x8
5 Ho 0.0000 0.4094 0.7500 x4
6 Er 0.2489 0.4476 0.4541 x8

Energy of formation ... 121 meV/atom
Final energy ... -179.3 eV for the cell shown
Density of states at the Fermi level ... 57.72 states/eV per cell
V ... 1276.6 Å³ per cell

---

Entry 6:
First-principles (PBE-GGA) data for an optimized crystal structure of LiPbI2O8, as listed in Alexandria.

abc: 5.2433 5.2433 23.1339
angles: 90.00 90.00 120.00
Space group R32 (No. 155, hexagonal axes)
Unique sites:
1 Li 0.0000 0.0000 0.0000 x3
2 Pb 0.0000 0.0000 0.5000 x3
3 I 0.0000 0.0000 0.2574 x6
4 O 0.0000 0.0000 0.1786 x6
5 O 0.0038 0.3492 0.2705 x18

Final energy ... -160.0 eV for the cell shown
Density of states at the Fermi level ... 15.44 states/eV per cell
V ... 550.8 Å³ per cell